1.
SbS2O | PBE-GGA | relaxed

offset from the most stable computed form = 0.0000 eV/atom
energy relative to the elements, uncorrected = 0.12 eV/atom

Unit cell a=7.2719 b=7.2719 c=7.2719 alpha=30.11 beta=30.11 gamma=30.11
With the nearest neighbours (Å) after each atom.
Element x y z (fractional)
Sb 0.0000 0.0000 0.0000  6 S 2.75
S 0.4140 0.4140 0.4140  1 O 1.79
S 0.5860 0.5860 0.5860  1 O 1.79
O 0.5000 0.5000 0.5000  2 S 1.79


2.
NaY2Cu | PBE-GGA | relaxed

offset from the most stable computed form = 0.0000 eV/atom
formation energy = 15.5 meV per atom

Unit cell a=3.4513 b=3.4513 c=9.4711 alpha=90.00 beta=90.00 gamma=90.00
With the nearest neighbours (Å) after each atom.
Element x y z (fractional)
Na 0.0000 0.0000 0.0000  4 Na 3.45
Y 0.5000 0.5000 0.3207  4 Cu 2.97
Y 0.5000 0.5000 0.6793  4 Cu 2.97
Cu 0.0000 0.0000 0.5000  8 Y 2.97


3.
Li8GaCu2 | PBE-GGA | relaxed

formation energy = -78.8 meV per atom

Unit cell a=7.7114 b=7.7114 c=5.0944 alpha=91.91 beta=91.91 gamma=33.63
With the nearest neighbours (Å) after each atom.
Element x y z (fractional)
Li 0.0518 0.0518 0.2578  4 Li 2.60-2.82, 2 Ga 2.69, 1 Cu 2.73
Li 0.1380 0.1380 0.8205  7 Li 2.60-2.82, 1 Cu 2.64
Li 0.3149 0.3149 0.8977  4 Li 2.63-2.73, 4 Cu 2.75-2.83, 1 Ga 2.76
Li 0.4078 0.4078 0.4589  1 Cu 2.60, 6 Li 2.66-2.74, 1 Ga 2.75
Li 0.5922 0.5922 0.5411  1 Cu 2.60, 6 Li 2.66-2.74, 1 Ga 2.75
Li 0.6851 0.6851 0.1023  4 Li 2.63-2.73, 4 Cu 2.75-2.83, 1 Ga 2.76
Li 0.8620 0.8620 0.1795  7 Li 2.60-2.82, 1 Cu 2.64
Li 0.9482 0.9482 0.7422  4 Li 2.60-2.82, 2 Ga 2.69, 1 Cu 2.73
Ga 0.5000 0.5000 0.0000  8 Li 2.69-2.76
Cu 0.2324 0.2324 0.3906  2 Cu 2.54, 7 Li 2.60-2.83
Cu 0.7676 0.7676 0.6094  2 Cu 2.54, 7 Li 2.60-2.83